# 1
VASP calculation (GGA-PBE) on a geometry-optimized K2NdIrO6 structure.

Cell lengths 6.016, 6.016, 8.516 Å; angles 90.00, 90.00, 90.00 degrees
Last column: magnetic moment on the atom in μB.
Atoms (fractional coordinates):
K1 0.000 0.000 0.250  0.00
K2 0.500 0.500 0.750  0.00
K3 0.000 0.000 0.750  0.00
K4 0.500 0.500 0.250  0.00
Nd1 0.500 0.000 0.000  0.00
Nd2 0.000 0.500 0.500  0.00
Ir1 0.500 0.000 0.500  0.52
Ir2 0.000 0.500 0.000  -0.53
O1 0.225 0.725 0.000  -0.05
O2 0.725 0.775 0.500  0.05
O3 0.775 0.275 0.000  -0.05
O4 0.275 0.225 0.500  0.05
O5 0.275 0.775 0.499  0.05
O6 0.775 0.725 0.999  -0.05
O7 0.725 0.225 0.501  0.05
O8 0.225 0.275 0.001  -0.05
O9 0.999 0.500 0.226  -0.07
O10 0.499 0.000 0.726  0.07
O11 0.001 0.500 0.774  -0.07
O12 0.501 0.000 0.274  0.07

## Properties
ΔE_f (raw): -1654.6 meV/atom

# 2
VASP calculation (GGA-PBE) on a geometry-optimized K2NdIr3O12 structure.

Cell lengths 6.794, 6.794, 6.794 Å; angles 66.12, 66.12, 66.12 degrees
Last column: magnetic moment on the atom in μB.
Atoms (fractional coordinates):
K1 0.601 0.601 0.601  0.00
K2 0.399 0.399 0.399  0.00
Nd1 0.000 0.000 0.000  0.04
Ir1 0.500 0.000 0.000  0.39
Ir2 0.000 0.500 0.000  0.39
Ir3 0.000 0.000 0.500  0.39
O1 0.271 0.271 0.884  0.00
O2 0.862 0.862 0.430  0.19
O3 0.430 0.862 0.862  0.19
O4 0.884 0.271 0.271  0.00
O5 0.862 0.430 0.862  0.19
O6 0.271 0.884 0.271  0.00
O7 0.729 0.729 0.116  0.00
O8 0.138 0.138 0.570  0.19
O9 0.570 0.138 0.138  0.19
O10 0.116 0.729 0.729  0.00
O11 0.138 0.570 0.138  0.19
O12 0.729 0.116 0.729  0.00

## Properties
space group: R-3m
ΔE_f (raw): -1135.0 meV/atom

# 3
VASP calculation (GGA-PBE) on a geometry-optimized K3Nd2IrO6 structure.

Cell lengths 5.989, 5.989, 6.582 Å; angles 98.62, 98.62, 119.84 degrees
Atoms (fractional coordinates):
K1 0.159 0.841 0.500
K2 0.841 0.159 0.500
K3 0.500 0.500 0.500
Nd1 0.333 0.667 0.000
Nd2 0.667 0.333 0.000
Ir1 0.000 0.000 0.000
O1 0.936 0.628 0.808
O2 0.753 0.753 0.190
O3 0.064 0.372 0.192
O4 0.628 0.936 0.808
O5 0.247 0.247 0.810
O6 0.372 0.064 0.192

## Properties
space group: C2/m
ΔE_f (raw): -1951.3 meV/atom

# 4
VASP calculation (GGA-PBE) on a geometry-optimized KNd2IrO5 structure.

Cell lengths 5.871, 6.883, 6.883 Å; angles 90.00, 90.00, 90.00 degrees
Last column: magnetic moment on the atom in μB.
Atoms (fractional coordinates):
K1 0.000 0.500 0.500  0.00
K2 0.000 0.000 0.000  0.00
Nd1 0.500 0.679 0.179  0.00
Nd2 0.500 0.179 0.321  0.00
Nd3 0.500 0.821 0.679  0.00
Nd4 0.500 0.321 0.821  0.00
Ir1 0.000 0.000 0.500  1.23
Ir2 0.000 0.500 0.000  1.23
O1 0.500 0.500 0.500  0.06
O2 0.500 0.000 0.000  0.06
O3 0.252 0.132 0.632  0.14
O4 0.252 0.868 0.368  0.14
O5 0.252 0.368 0.132  0.14
O6 0.252 0.632 0.868  0.14
O7 0.748 0.132 0.632  0.14
O8 0.748 0.632 0.868  0.14
O9 0.748 0.868 0.368  0.14
O10 0.748 0.368 0.132  0.14

## Properties
space group: P4/mbm
ΔE_f (raw): -2237.9 meV/atom